Record 1
Material: Cs3Tl3GeBr8
Method: DFT, GGA-PBE
State: relaxed

Unit cell a=9.6508 b=9.6508 c=9.6508 alpha=62.65 beta=62.65 gamma=62.65
Element x y z (fractional)
1 Cs 0.0000 0.5000 0.5000
2 Cs 0.5000 0.0000 0.5000
3 Cs 0.5000 0.5000 0.0000
4 Tl 0.0000 0.0000 0.5000
5 Tl 0.0000 0.5000 0.0000
6 Tl 0.5000 0.0000 0.0000
7 Ge 0.0000 0.0000 0.0000
8 Br 0.1958 0.7920 0.7920
9 Br 0.2080 0.2080 0.8042
10 Br 0.2080 0.8041 0.2080
11 Br 0.2420 0.2420 0.2420
12 Br 0.7580 0.7580 0.7580
13 Br 0.7920 0.1958 0.7920
14 Br 0.7920 0.7920 0.1958
15 Br 0.8042 0.2080 0.2080

Computed properties:
Energy relative to the elements, uncorrected (eV per atom): -1.17
Crystal system: trigonal
Magnetic moment (μB/atom): 0.000
SG: R-3m (166)


Record 2
Material: CsTmGeBr6
Method: DFT, GGA-PBE
State: relaxed

Unit cell a=7.3165 b=7.3165 c=8.1418 alpha=90.00 beta=90.00 gamma=120.00
Element x y z (fractional)
1 Cs 0.0000 0.0000 0.0000
2 Tm 0.6667 0.3333 0.5000
3 Ge 0.3333 0.6667 0.5000
4 Br 0.3779 0.0060 0.6976
5 Br 0.3779 0.3719 0.3024
6 Br 0.6281 0.0060 0.3024
7 Br 0.6281 0.6221 0.6976
8 Br 0.9940 0.3719 0.6976
9 Br 0.9940 0.6221 0.3024

Computed properties:
Energy relative to the elements, uncorrected (eV per atom): -1.45
Crystal system: trigonal
Magnetic moment (μB/atom): 0.000
SG: P312 (149)


Record 3
Material: CsVGe2Br8
Method: DFT, GGA-PBE
State: relaxed

Unit cell a=7.1237 b=7.1436 c=9.4108 alpha=90.00 beta=89.90 gamma=60.22
Element x y z (fractional)
1 Cs 0.0000 0.0000 0.0000
2 V 0.0000 0.0000 0.5000
3 Ge 0.3331 0.3331 0.3436
4 Ge 0.6669 0.6669 0.6564
5 Br 0.0510 0.2639 0.6558
6 Br 0.2631 0.6868 0.6569
7 Br 0.3155 0.9489 0.3432
8 Br 0.3326 0.3341 0.0823
9 Br 0.6674 0.6659 0.9177
10 Br 0.6845 0.0511 0.6568
11 Br 0.7369 0.3132 0.3431
12 Br 0.9490 0.7361 0.3442

Computed properties:
Energy relative to the elements, uncorrected (eV per atom): -0.86
Crystal system: triclinic
Magnetic moment (μB/atom): 0.167
SG: P-1 (2)


Record 4
Material: CsVGeBr6
Method: DFT, GGA-PBE
State: relaxed

Unit cell a=7.0120 b=7.0120 c=8.1217 alpha=90.00 beta=90.00 gamma=120.00
Element x y z (fractional)
1 Cs 0.0000 0.0000 0.0000
2 V 0.6667 0.3333 0.5000
3 Ge 0.3333 0.6667 0.5000
4 Br 0.3805 0.0245 0.3170
5 Br 0.3805 0.3560 0.6830
6 Br 0.6440 0.0245 0.6830
7 Br 0.6440 0.6195 0.3170
8 Br 0.9755 0.3560 0.3170
9 Br 0.9755 0.6195 0.6830

Computed properties:
Energy relative to the elements, uncorrected (eV per atom): -0.98
Crystal system: trigonal
Magnetic moment (μB/atom): 0.222
SG: P312 (149)


Record 5
Material: Cs12H5Br3
Method: DFT, GGA-PBE
State: relaxed

Unit cell a=17.4923 b=17.4923 c=17.4923 alpha=109.47 beta=109.47 gamma=109.47
Element x y z (fractional)
1 Cs 0.0189 0.2030 0.1232
2 Cs 0.0189 0.3158 0.8957
3 Cs 0.0798 0.7030 0.6842
4 Cs 0.0798 0.8768 0.3957
5 Cs 0.1043 0.6232 0.4202
6 Cs 0.1043 0.9811 0.6842
7 Cs 0.1232 0.0189 0.2030
8 Cs 0.1232 0.6043 0.9202
9 Cs 0.1842 0.2030 0.5798
10 Cs 0.1842 0.4811 0.6043
11 Cs 0.2030 0.1232 0.0189
12 Cs 0.2030 0.5798 0.1842
13 Cs 0.2970 0.3158 0.9202
14 Cs 0.2970 0.4811 0.3768
15 Cs 0.3158 0.8957 0.0189
16 Cs 0.3158 0.9202 0.2970
17 Cs 0.3768 0.2970 0.4811
18 Cs 0.3768 0.5798 0.8957
19 Cs 0.3957 0.0798 0.8768
20 Cs 0.3957 0.8158 0.5189
21 Cs 0.4202 0.1043 0.6232
22 Cs 0.4202 0.8158 0.7970
23 Cs 0.4811 0.3768 0.2970
24 Cs 0.4811 0.6043 0.1842
25 Cs 0.5189 0.3957 0.8158
26 Cs 0.5189 0.6232 0.7030
27 Cs 0.5798 0.1842 0.2030
28 Cs 0.5798 0.8957 0.3768
29 Cs 0.6043 0.1842 0.4811
30 Cs 0.6043 0.9202 0.1232
31 Cs 0.6232 0.4202 0.1043
32 Cs 0.6232 0.7030 0.5189
33 Cs 0.6842 0.0798 0.7030
34 Cs 0.6842 0.1043 0.9811
35 Cs 0.7030 0.5189 0.6232
36 Cs 0.7030 0.6842 0.0798
37 Cs 0.7970 0.4202 0.8158
38 Cs 0.7970 0.8768 0.9811
39 Cs 0.8158 0.5189 0.3957
40 Cs 0.8158 0.7970 0.4202
41 Cs 0.8768 0.3957 0.0798
42 Cs 0.8768 0.9811 0.7970
43 Cs 0.8957 0.0189 0.3158
44 Cs 0.8957 0.3768 0.5798
45 Cs 0.9202 0.1232 0.6043
46 Cs 0.9202 0.2970 0.3158
47 Cs 0.9811 0.6842 0.1043
48 Cs 0.9811 0.7970 0.8768
49 H 0.0000 0.0000 0.0000
50 H 0.0000 0.0000 0.5000
51 H 0.0000 0.5000 0.0000
52 H 0.0000 0.5000 0.5000
53 H 0.1250 0.7500 0.8750
54 H 0.1250 0.8750 0.2500
55 H 0.2500 0.1250 0.8750
56 H 0.2500 0.6250 0.3750
57 H 0.3750 0.2500 0.6250
58 H 0.3750 0.6250 0.7500
59 H 0.5000 0.0000 0.0000
60 H 0.5000 0.0000 0.5000
61 H 0.5000 0.5000 0.0000
62 H 0.5000 0.5000 0.5000
63 H 0.6250 0.3750 0.2500
64 H 0.6250 0.7500 0.3750
65 H 0.7500 0.3750 0.6250
66 H 0.7500 0.8750 0.1250
67 H 0.8750 0.1250 0.7500
68 H 0.8750 0.2500 0.1250
69 Br 0.1250 0.2500 0.3750
70 Br 0.1250 0.3750 0.7500
71 Br 0.2500 0.3750 0.1250
72 Br 0.2500 0.8750 0.6250
73 Br 0.3750 0.1250 0.2500
74 Br 0.3750 0.7500 0.1250
75 Br 0.6250 0.2500 0.8750
76 Br 0.6250 0.8750 0.7500
77 Br 0.7500 0.1250 0.3750
78 Br 0.7500 0.6250 0.8750
79 Br 0.8750 0.6250 0.2500
80 Br 0.8750 0.7500 0.6250

Computed properties:
Crystal system: cubic
Magnetic moment (μB/atom): 0.130
E (eV/f.u.): -41.685
SG: Ia-3d (230)


Record 6
Material: Cs2H2Br
Method: DFT, GGA-PBE
State: relaxed

Unit cell a=5.2602 b=5.2604 c=9.1762 alpha=82.88 beta=82.99 gamma=62.12
Element x y z (fractional)
1 Cs 0.1987 0.1991 0.2676
2 Cs 0.8013 0.8009 0.7324
3 H 0.0717 0.9288 0.9999
4 H 0.9283 0.0712 0.0001
5 Br 0.5000 0.5000 0.5000

Computed properties:
Offset from the most stable computed form (meV/atom): 0
Crystal system: triclinic
Magnetic moment (μB/atom): 0.140
SG: P-1 (2)